# K2CoRhBr (meta-GGA SCAN, single point on PBEsol structure)
# Electronic total energy: -16.99 eV per atom
# Energy relative to the elements, uncorrected: 0.450 eV/atom
# DOS(E_F): 1.653 states/eV per atom
# Total moment: 2.22 μB/f.u.
data_K2CoRhBr
_cell_length_a 6.169
_cell_length_b 6.169
_cell_length_c 4.571
_cell_angle_alpha 90.00
_cell_angle_beta 90.00
_cell_angle_gamma 90.00
_space_group_name_H-M_alt 'P 4/m m m'
_space_group_IT_number 123
_space_group_name_Hall '-P 4 2'
loop_
_atom_site_label
_atom_site_fract_x
_atom_site_fract_y
_atom_site_fract_z
K1 0.000 0.500 0.000
Co1 0.000 0.000 0.500
Rh1 0.500 0.500 0.000
Br1 0.500 0.500 0.500

# LaCo2Br (meta-GGA SCAN, single point on PBEsol structure)
# Electronic total energy: -24.43 eV per atom
# Energy relative to the elements, uncorrected: -0.132 eV/atom
# DOS(E_F): 0.550 states/eV per atom
# Total moment: 2.94 μB/f.u.
data_LaCo2Br
_cell_length_a 3.346
_cell_length_b 3.346
_cell_length_c 7.090
_cell_angle_alpha 90.00
_cell_angle_beta 90.00
_cell_angle_gamma 90.00
_space_group_name_H-M_alt 'P 4 m m'
_space_group_IT_number 99
_space_group_name_Hall 'P 4 -2'
loop_
_atom_site_label
_atom_site_fract_x
_atom_site_fract_y
_atom_site_fract_z
La1 0.000 0.000 0.000
Co1 0.000 0.000 0.644
Co2 0.500 0.500 0.697
Br1 0.500 0.500 0.275

Copy entry 1 word for word.
# K2CoRhBr (meta-GGA SCAN, single point on PBEsol structure)
# Electronic total energy: -16.99 eV per atom
# Energy relative to the elements, uncorrected: 0.450 eV/atom
# DOS(E_F): 1.653 states/eV per atom
# Total moment: 2.22 μB/f.u.
data_K2CoRhBr
_cell_length_a 6.169
_cell_length_b 6.169
_cell_length_c 4.571
_cell_angle_alpha 90.00
_cell_angle_beta 90.00
_cell_angle_gamma 90.00
_space_group_name_H-M_alt 'P 4/m m m'
_space_group_IT_number 123
_space_group_name_Hall '-P 4 2'
loop_
_atom_site_label
_atom_site_fract_x
_atom_site_fract_y
_atom_site_fract_z
K1 0.000 0.500 0.000
Co1 0.000 0.000 0.500
Rh1 0.500 0.500 0.000
Br1 0.500 0.500 0.500

The highest energy relative to the elements, uncorrected belongs to which entry? K2CoRhBr

What did the first record say?
# K2CoRhBr (meta-GGA SCAN, single point on PBEsol structure)
# Electronic total energy: -16.99 eV per atom
# Energy relative to the elements, uncorrected: 0.450 eV/atom
# DOS(E_F): 1.653 states/eV per atom
# Total moment: 2.22 μB/f.u.
data_K2CoRhBr
_cell_length_a 6.169
_cell_length_b 6.169
_cell_length_c 4.571
_cell_angle_alpha 90.00
_cell_angle_beta 90.00
_cell_angle_gamma 90.00
_space_group_name_H-M_alt 'P 4/m m m'
_space_group_IT_number 123
_space_group_name_Hall '-P 4 2'
loop_
_atom_site_label
_atom_site_fract_x
_atom_site_fract_y
_atom_site_fract_z
K1 0.000 0.500 0.000
Co1 0.000 0.000 0.500
Rh1 0.500 0.500 0.000
Br1 0.500 0.500 0.500